(1)
This record from Alexandria describes a relaxed SrAc3C8 crystal. The functional is PBE.

a b c (Å): 6.879 6.844 7.674
angles (deg): 56.21 55.78 68.00
Element x y z (fractional)
Sr 0.000 0.000 0.000
Ac 0.246 0.246 0.254
Ac 0.501 0.501 0.499
Ac 0.746 0.746 0.754
C 0.067 0.405 0.933
C 0.127 0.604 0.396
C 0.401 0.879 0.599
C 0.405 0.067 0.595
C 0.599 0.939 0.061
C 0.604 0.127 0.873
C 0.879 0.401 0.121
C 0.939 0.599 0.401

Output
- size of the total moment (Bohr magnetons per cell) = 0.00
- N(E_F) (states/eV/cell) = 2.35
- calculated formation energy (meV per atom) = 153

---

(2)
This record from Alexandria describes a relaxed AcTaC2 crystal. The functional is PBE.

a b c (Å): 6.477 6.477 6.477
angles (deg): 30.59 30.59 30.59
Element x y z (fractional)
Ac 0.000 0.000 0.000
Ta 0.500 0.500 0.500
C 0.229 0.229 0.229
C 0.771 0.771 0.771

Output
- size of the total moment (Bohr magnetons per cell) = 0.00
- N(E_F) (states/eV/cell) = 1.25
- calculated formation energy (meV per atom) = 61

---

(3)
This record from Alexandria describes a relaxed AcTbC4 crystal. The functional is PBE.

a b c (Å): 4.330 4.330 7.452
angles (deg): 114.64 114.64 52.96
Element x y z (fractional)
Ac 0.000 0.000 0.000
Tb 0.500 0.500 0.500
C 0.189 0.189 0.769
C 0.295 0.295 0.676
C 0.705 0.705 0.324
C 0.811 0.811 0.231

Output
- size of the total moment (Bohr magnetons per cell) = 0.00
- N(E_F) (states/eV/cell) = 1.84
- calculated formation energy (meV per atom) = -111

---

(4)
This record from Alexandria describes a relaxed AcTb2C crystal. The functional is PBE.

a b c (Å): 10.425 10.425 10.425
angles (deg): 20.04 20.04 20.04
Element x y z (fractional)
Ac 0.000 0.000 0.000
Tb 0.123 0.123 0.123
Tb 0.877 0.877 0.877
C 0.500 0.500 0.500

Output
- size of the total moment (Bohr magnetons per cell) = 0.00
- N(E_F) (states/eV/cell) = 5.25
- calculated formation energy (meV per atom) = -64

---

(5)
This record from Alexandria describes a relaxed AcTb3C crystal. The functional is PBE.

a b c (Å): 5.154 5.154 5.154
angles (deg): 90.00 90.00 90.00
Element x y z (fractional)
Ac 0.000 0.000 0.000
Tb 0.000 0.500 0.500
Tb 0.500 0.000 0.500
Tb 0.500 0.500 0.000
C 0.500 0.500 0.500

Output
- size of the total moment (Bohr magnetons per cell) = 0.00
- N(E_F) (states/eV/cell) = 5.15
- calculated formation energy (meV per atom) = 41

---

(6)
This record from Alexandria describes a relaxed AcTbC crystal. The functional is PBE.

a b c (Å): 6.879 6.879 6.879
angles (deg): 151.83 151.83 40.26
Element x y z (fractional)
Ac 0.000 0.000 0.000
Tb 0.776 0.776 0.000
C 0.378 0.378 0.000

Output
- excess energy over the best structure of this formula in the dataset (eV per atom) = 0.473
- size of the total moment (Bohr magnetons per cell) = 0.00
- N(E_F) (states/eV/cell) = 1.65
- calculated formation energy (meV per atom) = 434

---

(7)
This record from Alexandria describes a relaxed AcTbC crystal. The functional is PBE.

a b c (Å): 3.745 3.745 6.774
angles (deg): 90.00 90.00 120.00
Element x y z (fractional)
Ac 0.000 0.000 0.000
Tb 0.667 0.333 0.424
C 0.333 0.667 0.249

Output
- excess energy over the best structure of this formula in the dataset (eV per atom) = 0.000
- size of the total moment (Bohr magnetons per cell) = 0.00
- N(E_F) (states/eV/cell) = 2.56
- calculated formation energy (meV per atom) = -39

---

(8)
This record from Alexandria describes a relaxed AcTc2C3 crystal. The functional is PBE.

a b c (Å): 6.233 6.233 5.372
angles (deg): 90.00 90.00 99.47
Element x y z (fractional)
Ac 0.182 0.818 0.750
Ac 0.818 0.182 0.250
Tc 0.329 0.329 0.000
Tc 0.329 0.329 0.500
Tc 0.671 0.671 0.000
Tc 0.671 0.671 0.500
C 0.102 0.292 0.750
C 0.292 0.102 0.250
C 0.420 0.580 0.250
C 0.580 0.420 0.750
C 0.708 0.898 0.750
C 0.898 0.708 0.250

Output
- size of the total moment (Bohr magnetons per cell) = 0.00
- N(E_F) (states/eV/cell) = 7.36
- calculated formation energy (meV per atom) = 375

---

(9)
This record from Alexandria describes a relaxed Ac2Tc2C3 crystal. The functional is PBE.

a b c (Å): 6.411 6.411 6.203
angles (deg): 118.02 118.02 32.83
Element x y z (fractional)
Ac 0.100 0.100 0.311
Ac 0.900 0.900 0.689
Tc 0.333 0.333 0.179
Tc 0.667 0.667 0.821
C 0.246 0.246 0.791
C 0.500 0.500 0.500
C 0.754 0.754 0.209

Output
- size of the total moment (Bohr magnetons per cell) = 0.00
- N(E_F) (states/eV/cell) = 3.61
- calculated formation energy (meV per atom) = -23

---

(10)
This record from Alexandria describes a relaxed Ac2TeC crystal. The functional is PBE.

a b c (Å): 8.101 8.101 8.101
angles (deg): 30.53 30.53 30.53
Element x y z (fractional)
Ac 0.232 0.232 0.232
Ac 0.768 0.768 0.768
Te 0.000 0.000 0.000
C 0.500 0.500 0.500

Output
- size of the total moment (Bohr magnetons per cell) = 0.00
- N(E_F) (states/eV/cell) = 2.28
- formation energy without anion corrections (eV/atom) = -0.63

---

(11)
This record from Alexandria describes a relaxed AcThC crystal. The functional is PBE.

a b c (Å): 3.784 3.784 6.767
angles (deg): 90.00 90.00 120.00
Element x y z (fractional)
Ac 0.000 0.000 0.000
Th 0.333 0.667 0.442
C 0.667 0.333 0.267

Output
- excess energy over the best structure of this formula in the dataset (eV per atom) = 0.000
- size of the total moment (Bohr magnetons per cell) = 0.00
- N(E_F) (states/eV/cell) = 3.08
- calculated formation energy (meV per atom) = -46

---

(12)
This record from Alexandria describes a relaxed AcTh2C2 crystal. The functional is PBE.

a b c (Å): 10.060 10.060 10.060
angles (deg): 21.65 21.65 21.65
Element x y z (fractional)
Ac 0.000 0.000 0.000
Th 0.227 0.227 0.227
Th 0.773 0.773 0.773
C 0.401 0.401 0.401
C 0.599 0.599 0.599

Output
- size of the total moment (Bohr magnetons per cell) = 0.00
- N(E_F) (states/eV/cell) = 3.64
- calculated formation energy (meV per atom) = -74

---

(13)
This record from Alexandria describes a relaxed Ac2ThC crystal. The functional is PBE.

a b c (Å): 11.002 11.002 11.002
angles (deg): 20.60 20.60 20.60
Element x y z (fractional)
Ac 0.073 0.073 0.073
Ac 0.927 0.927 0.927
Th 0.500 0.500 0.500
C 0.000 0.000 0.000

Output
- size of the total moment (Bohr magnetons per cell) = 1.14
- N(E_F) (states/eV/cell) = 5.26
- calculated formation energy (meV per atom) = 1148

---

(14)
This record from Alexandria describes a relaxed AcThC crystal. The functional is PBE.

a b c (Å): 6.987 6.987 6.987
angles (deg): 151.51 151.51 40.72
Element x y z (fractional)
Ac 0.000 0.000 0.000
Th 0.758 0.758 0.000
C 0.329 0.329 0.000

Output
- excess energy over the best structure of this formula in the dataset (eV per atom) = 0.428
- size of the total moment (Bohr magnetons per cell) = 0.00
- N(E_F) (states/eV/cell) = 2.52
- calculated formation energy (meV per atom) = 382

---

(15)
This record from Alexandria describes a relaxed AcTh2C crystal. The functional is PBE.

a b c (Å): 10.427 10.427 10.427
angles (deg): 20.33 20.33 20.33
Element x y z (fractional)
Ac 0.000 0.000 0.000
Th 0.120 0.120 0.120
Th 0.880 0.880 0.880
C 0.500 0.500 0.500

Output
- size of the total moment (Bohr magnetons per cell) = 0.00
- N(E_F) (states/eV/cell) = 4.36
- calculated formation energy (meV per atom) = -32

---

(16)
This record from Alexandria describes a relaxed AcTh2WC4 crystal. The functional is PBE.

a b c (Å): 6.677 6.677 12.830
angles (deg): 90.00 90.00 147.74
Element x y z (fractional)
Ac 0.098 0.902 0.750
Ac 0.902 0.098 0.250
Th 0.369 0.631 0.540
Th 0.369 0.631 0.960
Th 0.631 0.369 0.040
Th 0.631 0.369 0.460
W 0.169 0.831 0.250
W 0.831 0.169 0.750
C 0.000 0.000 0.000
C 0.000 0.000 0.500
C 0.261 0.739 0.129
C 0.261 0.739 0.371
C 0.408 0.592 0.750
C 0.592 0.408 0.250
C 0.739 0.261 0.629
C 0.739 0.261 0.871

Output
- size of the total moment (Bohr magnetons per cell) = 0.00
- N(E_F) (states/eV/cell) = 6.92
- calculated formation energy (meV per atom) = -83

---

(17)
This record from Alexandria describes a relaxed AcTiC crystal. The functional is PBE.

a b c (Å): 9.617 4.985 6.046
angles (deg): 90.00 105.44 90.00
Element x y z (fractional)
Ac 0.209 0.044 0.392
Ac 0.209 0.456 0.892
Ac 0.791 0.544 0.108
Ac 0.791 0.956 0.608
Ti 0.470 0.678 0.659
Ti 0.470 0.822 0.159
Ti 0.530 0.178 0.841
Ti 0.530 0.322 0.341
C 0.346 0.576 0.326
C 0.346 0.924 0.826
C 0.654 0.076 0.174
C 0.654 0.424 0.674

Output
- size of the total moment (Bohr magnetons per cell) = 0.00
- N(E_F) (states/eV/cell) = 9.97
- calculated formation energy (meV per atom) = -57

---

(18)
This record from Alexandria describes a relaxed AcTi2C crystal. The functional is PBE.

a b c (Å): 8.883 8.883 8.883
angles (deg): 21.04 21.04 21.04
Element x y z (fractional)
Ac 0.000 0.000 0.000
Ti 0.125 0.125 0.125
Ti 0.875 0.875 0.875
C 0.500 0.500 0.500

Output
- size of the total moment (Bohr magnetons per cell) = 0.00
- N(E_F) (states/eV/cell) = 4.08
- calculated formation energy (meV per atom) = -36

---

(19)
This record from Alexandria describes a relaxed Ac3TlC crystal. The functional is PBE.

a b c (Å): 8.808 4.131 9.365
angles (deg): 90.00 99.36 90.00
Element x y z (fractional)
Ac 0.056 0.250 0.339
Ac 0.272 0.250 0.918
Ac 0.353 0.750 0.602
Ac 0.647 0.250 0.398
Ac 0.728 0.750 0.082
Ac 0.944 0.750 0.661
Tl 0.354 0.750 0.216
Tl 0.646 0.250 0.784
C 0.155 0.250 0.638
C 0.845 0.750 0.362

Output
- excess energy over the best structure of this formula in the dataset (eV per atom) = 0.042
- size of the total moment (Bohr magnetons per cell) = 0.00
- N(E_F) (states/eV/cell) = 7.85
- calculated formation energy (meV per atom) = -69

---

(20)
This record from Alexandria describes a relaxed Ac3TlC crystal. The functional is PBE.

a b c (Å): 5.474 5.474 5.474
angles (deg): 90.00 90.00 90.00
Element x y z (fractional)
Ac 0.000 0.000 0.500
Ac 0.000 0.500 0.000
Ac 0.500 0.000 0.000
Tl 0.500 0.500 0.500
C 0.000 0.000 0.000

Output
- excess energy over the best structure of this formula in the dataset (eV per atom) = 0.000
- size of the total moment (Bohr magnetons per cell) = 0.00
- N(E_F) (states/eV/cell) = 2.41
- calculated formation energy (meV per atom) = -111